This record from the Alexandria database describes TlHgPb2 at its PBEsol-relaxed geometry. The functional is meta-GGA SCAN.

Summary:
ΔE_f (meV/atom): -1
SG: No. 99
Density (g/cm3): 12.3

a b c (Å): 3.4595 3.4595 9.2113
angles (deg): 90.00 90.00 90.00
With the nearest neighbours (Å) after each atom.
Fractional coordinates of all 4 atoms:
Tl  0.0000  0.0000  0.5148  4 Hg 3.26, 4 Pb 3.45, 4 Tl 3.46
Pb  0.5000  0.5000  0.2506  4 Tl 3.45, 8 Pb 3.45-3.46
Pb  0.0000  0.0000  0.9861  4 Hg 3.28, 8 Pb 3.45-3.46
Hg  0.5000  0.5000  0.7484  4 Tl 3.26, 4 Pb 3.28, 4 Hg 3.46


This record from the Alexandria database describes Te3Rh at its PBEsol-relaxed geometry. The functional is meta-GGA SCAN.

Summary:
Energy relative to the elements, uncorrected (eV/atom): 0.61
SG: No. 221
Density (g/cm3): 8.9

a b c (Å): 4.4945 4.4945 4.4945
angles (deg): 90.00 90.00 90.00
With the nearest neighbours (Å) after each atom.
Fractional coordinates of all 4 atoms:
Te  0.5000  0.5000  0.0000  8 Te 3.18, 4 Rh 3.18
Te  0.5000  0.0000  0.5000  8 Te 3.18, 4 Rh 3.18
Te  0.0000  0.5000  0.5000  8 Te 3.18, 4 Rh 3.18
Rh  0.0000  0.0000  0.0000  12 Te 3.18


This record from the Alexandria database describes Sc2TaTe at its PBEsol-relaxed geometry. The functional is meta-GGA SCAN.

Summary:
Energy relative to the elements, uncorrected (eV/atom): -0.15
E above lowest polymorph (meV/atom): 15
SG: No. 166
Density (g/cm3): 7.6

a b c (Å): 3.3372 3.3372 9.1766
angles (deg): 79.52 79.52 60.00
With the nearest neighbours (Å) after each atom.
Fractional coordinates of all 4 atoms:
Sc  0.7487  0.7487  0.7539  3 Te 2.93, 3 Ta 2.98
Sc  0.2513  0.2513  0.2461  3 Te 2.93, 3 Ta 2.98
Te  0.0000  0.0000  0.0000  6 Sc 2.93
Ta  0.5000  0.5000  0.5000  6 Sc 2.98, 6 Ta 3.34


This record from the Alexandria database describes BePbSeN2 at its PBEsol-relaxed geometry. The functional is meta-GGA SCAN.

Summary:
Energy relative to the elements, uncorrected (eV/atom): 1.00
SG: No. 123
Density (g/cm3): 7.4

a b c (Å): 3.9217 3.9217 4.7374
angles (deg): 90.00 90.00 90.00
With the nearest neighbours (Å) after each atom.
Fractional coordinates of all 5 atoms:
Se  0.0000  0.0000  0.5000  2 Be 2.37
N  0.0000  0.5000  0.0000  2 Be 1.96
N  0.5000  0.0000  0.0000  2 Be 1.96
Be  0.0000  0.0000  0.0000  4 N 1.96
Pb  0.5000  0.5000  0.5000  4 Se 2.77, 8 N 3.07


This record from the Alexandria database describes MoOs2 at its PBEsol-relaxed geometry. The functional is meta-GGA SCAN.

Summary:
E above lowest polymorph (meV/atom): 50
ΔE_f (meV/atom): 24
SG: No. 141
Density (g/cm3): 18.3

a b c (Å): 3.8522 3.8522 11.9837
angles (deg): 99.25 99.25 90.00
With the nearest neighbours (Å) after each atom.
Fractional coordinates of all 12 atoms:
Os  0.0008  0.5008  0.0017  4 Mo 2.68-2.70, 8 Os 2.71-2.74
Os  0.6676  0.1676  0.3351  6 Os 2.71-2.77, 6 Mo 2.72-2.80
Os  0.8324  0.3324  0.6649  6 Os 2.71-2.77, 6 Mo 2.72-2.80
Os  0.4992  0.9992  0.9983  4 Mo 2.68-2.70, 8 Os 2.71-2.74
Os  0.7508  0.7508  0.5017  4 Mo 2.68-2.70, 8 Os 2.71-2.74
Os  0.4176  0.4176  0.8351  6 Os 2.71-2.77, 6 Mo 2.72-2.80
Os  0.5824  0.5824  0.1649  6 Os 2.71-2.77, 6 Mo 2.72-2.80
Os  0.2492  0.2492  0.4983  4 Mo 2.68-2.70, 8 Os 2.71-2.74
Mo  0.1695  0.6695  0.3390  10 Os 2.68-2.80, 2 Mo 2.83
Mo  0.9195  0.9195  0.8390  10 Os 2.68-2.80, 2 Mo 2.83
Mo  0.3305  0.8305  0.6610  10 Os 2.68-2.80, 2 Mo 2.83
Mo  0.0805  0.0805  0.1610  10 Os 2.68-2.80, 2 Mo 2.83


This record from the Alexandria database describes ScPbN2O at its PBEsol-relaxed geometry. The functional is meta-GGA SCAN.

Summary:
Energy relative to the elements, uncorrected (eV/atom): 0.45
SG: No. 123
Density (g/cm3): 6.9

a b c (Å): 4.1459 4.1379 4.1379
angles (deg): 90.00 90.00 90.00
With the nearest neighbours (Å) after each atom.
Fractional coordinates of all 5 atoms:
N  0.0000  0.0000  0.5000  2 Pb 2.07
N  0.0000  0.5000  0.0000  2 Pb 2.07
Sc  0.5000  0.5000  0.5000  4 O 2.93, 8 N 2.93
Pb  0.0000  0.0000  0.0000  4 N 2.07, 2 O 2.07
O  0.5000  0.0000  0.0000  2 Pb 2.07


Q: density of number 2 (Te3Rh)?
A: 8.9 g/cm3


Q: Number 2 is which compound?
A: Te3Rh


Please write out number 3 again, unchanged.
This record from the Alexandria database describes Sc2TaTe at its PBEsol-relaxed geometry. The functional is meta-GGA SCAN.

Summary:
Energy relative to the elements, uncorrected (eV/atom): -0.15
E above lowest polymorph (meV/atom): 15
SG: No. 166
Density (g/cm3): 7.6

a b c (Å): 3.3372 3.3372 9.1766
angles (deg): 79.52 79.52 60.00
With the nearest neighbours (Å) after each atom.
Fractional coordinates of all 4 atoms:
Sc  0.7487  0.7487  0.7539  3 Te 2.93, 3 Ta 2.98
Sc  0.2513  0.2513  0.2461  3 Te 2.93, 3 Ta 2.98
Te  0.0000  0.0000  0.0000  6 Sc 2.93
Ta  0.5000  0.5000  0.5000  6 Sc 2.98, 6 Ta 3.34


Q: Which of these has the highest density?
A: MoOs2